Material: Ho3In5Te12
Method: DFT, PBE
State: relaxed

Results
Uncorrected energy in eV/cell: -308.648
Raw formation energy in eV/atom: -0.60
Space group: Ia-3d

a b c (Å): 15.3746 15.3746 15.3746
angles (deg): 109.47 109.47 109.47
With the nearest neighbours (Å) after each atom.
Atoms (fractional coordinates):
1 Te 0.4530 0.6727 0.0859  2 In 2.81-2.98
2 Te 0.9132 0.8273 0.7803  2 In 2.81-2.98
3 Te 0.5868 0.8671 0.4141  2 In 2.81-2.98
4 Te 0.7803 0.3273 0.9132  2 In 2.81-2.98
5 In 0.6250 0.8750 0.2500  4 Te 2.81
6 Te 0.3273 0.7803 0.4132  2 In 2.81-2.98
7 In 0.7500 0.1250 0.8750  4 Te 2.81
8 Ho 0.3750 0.6250 0.2500  8 Te 3.31-3.32
9 Ho 0.6250 0.3750 0.7500  8 Te 3.31-3.32
10 In 0.5000 0.5000 0.5000  6 Te 2.98
11 In 0.7500 0.6250 0.3750  4 Te 2.81
12 Te 0.4141 0.0470 0.3273  2 In 2.81-2.98
13 Te 0.2197 0.6727 0.0868  2 In 2.81-2.98
14 In 0.2500 0.3750 0.6250  4 Te 2.81
15 Te 0.8273 0.9132 0.2803  2 In 2.81-2.98
16 Te 0.4141 0.3671 0.5868  2 In 2.81-2.98
17 Te 0.1727 0.0868 0.7197  2 In 2.81-2.98
18 In 0.0000 0.0000 0.5000  6 Te 2.98
19 Te 0.3273 0.5470 0.4141  2 In 2.81-2.98
20 In 0.2500 0.8750 0.1250  4 Te 2.81
21 Te 0.8671 0.2803 0.4530  2 In 2.81-2.98
22 Te 0.0868 0.9141 0.3671  2 In 2.81-2.98
23 Te 0.7197 0.5868 0.1727  2 In 2.81-2.98
24 In 0.5000 0.0000 0.0000  6 Te 2.98
25 In 0.3750 0.2500 0.1250  4 Te 2.81
26 In 0.0000 0.0000 0.0000  6 Te 2.98
27 In 0.0000 0.5000 0.0000  6 Te 2.98
28 Ho 0.7500 0.3750 0.1250  8 Te 3.31-3.32
29 Te 0.0859 0.9132 0.1329  2 In 2.81-2.98
30 In 0.0000 0.5000 0.5000  6 Te 2.98
31 Te 0.1329 0.7197 0.5470  2 In 2.81-2.98
32 Te 0.2197 0.5470 0.6329  2 In 2.81-2.98
33 Ho 0.8750 0.7500 0.1250  8 Te 3.31-3.32
34 Te 0.5470 0.3273 0.9141  2 In 2.81-2.98
35 Te 0.5859 0.9530 0.6727  2 In 2.81-2.98
36 Te 0.9530 0.5859 0.1727  2 In 2.81-2.98
37 Te 0.0470 0.4141 0.8273  2 In 2.81-2.98
38 Te 0.9141 0.8273 0.5470  2 In 2.81-2.98
39 Te 0.2803 0.4132 0.8273  2 In 2.81-2.98
40 Ho 0.2500 0.6250 0.8750  8 Te 3.31-3.32
41 Te 0.6727 0.2197 0.5868  2 In 2.81-2.98
42 In 0.3750 0.1250 0.7500  4 Te 2.81
43 Ho 0.3750 0.7500 0.6250  8 Te 3.31-3.32
44 Te 0.8273 0.9141 0.0470  2 In 2.81-2.98
45 Te 0.6329 0.5859 0.9132  2 In 2.81-2.98
46 Te 0.3671 0.9530 0.7803  2 In 2.81-2.98
47 Te 0.9530 0.3671 0.2803  2 In 2.81-2.98
48 Te 0.1727 0.0859 0.9530  2 In 2.81-2.98
49 Te 0.4132 0.2803 0.3273  2 In 2.81-2.98
50 Te 0.9141 0.0868 0.8671  2 In 2.81-2.98
51 In 0.5000 0.0000 0.5000  6 Te 2.98
52 Te 0.8671 0.5868 0.9141  2 In 2.81-2.98
53 Ho 0.6250 0.2500 0.3750  8 Te 3.31-3.32
54 In 0.5000 0.5000 0.0000  6 Te 2.98
55 Te 0.6329 0.0470 0.2197  2 In 2.81-2.98
56 Te 0.7197 0.1329 0.0470  2 In 2.81-2.98
57 Te 0.5470 0.2197 0.1329  2 In 2.81-2.98
58 Te 0.4132 0.1329 0.5859  2 In 2.81-2.98
59 Te 0.9132 0.0859 0.6329  2 In 2.81-2.98
60 Te 0.7803 0.4530 0.3671  2 In 2.81-2.98
61 Te 0.4530 0.7803 0.8671  2 In 2.81-2.98
62 Ho 0.1250 0.8750 0.7500  8 Te 3.31-3.32
63 Ho 0.8750 0.1250 0.2500  8 Te 3.31-3.32
64 Ho 0.7500 0.8750 0.6250  8 Te 3.31-3.32
65 In 0.8750 0.6250 0.7500  4 Te 2.81
66 Te 0.3671 0.4141 0.0868  2 In 2.81-2.98
67 Ho 0.2500 0.1250 0.3750  8 Te 3.31-3.32
68 In 0.1250 0.7500 0.3750  4 Te 2.81
69 Te 0.5859 0.6329 0.4132  2 In 2.81-2.98
70 Te 0.1329 0.4132 0.0859  2 In 2.81-2.98
71 Te 0.0868 0.1727 0.2197  2 In 2.81-2.98
72 Ho 0.1250 0.2500 0.8750  8 Te 3.31-3.32
73 Te 0.0470 0.6329 0.7197  2 In 2.81-2.98
74 Te 0.0859 0.1727 0.4530  2 In 2.81-2.98
75 Te 0.2803 0.8671 0.9530  2 In 2.81-2.98
76 In 0.6250 0.7500 0.8750  4 Te 2.81
77 In 0.8750 0.2500 0.6250  4 Te 2.81
78 Te 0.6727 0.4530 0.5859  2 In 2.81-2.98
79 In 0.1250 0.3750 0.2500  4 Te 2.81
80 Te 0.5868 0.7197 0.6727  2 In 2.81-2.98